No. 1
CaErP2 | GGA-PBE | relaxed

Properties
DFT formation energy   -1.1151 eV per atom
Polymorph energy (0 for the lowest one)   70 meV per atom

Lattice parameters (Å, degrees): 3.9913 3.9913 20.7812 90.00 90.00 120.00
Space group R3m (No. 160, hexagonal axes)
Asymmetric unit:
Ca (0.0000, 0.0000, 0.0000) (multiplicity 3)
Er (0.0000, 0.0000, 0.1728) (multiplicity 3)
P (0.0000, 0.0000, 0.5806) (multiplicity 3)
P (0.0000, 0.0000, 0.7603) (multiplicity 3)

***

No. 2
CaErP2 | GGA-PBE | relaxed

Properties
DFT formation energy   -1.1852 eV per atom
Polymorph energy (0 for the lowest one)   0 meV per atom

Lattice parameters (Å, degrees): 4.0025 4.0025 20.3177 90.00 90.00 120.00
Space group R-3m (No. 166, hexagonal axes)
Asymmetric unit:
Ca (0.0000, 0.0000, 0.0000) (multiplicity 3)
Er (0.0000, 0.0000, 0.5000) (multiplicity 3)
P (0.0000, 0.0000, 0.2445) (multiplicity 6)

***

No. 3
Ca2ErP | GGA-PBE | relaxed

Properties
DFT formation energy   -0.2880 eV per atom

Lattice parameters (Å, degrees): 3.9434 3.9434 31.6236 90.00 90.00 120.00
Space group R-3m (No. 166, hexagonal axes)
Asymmetric unit:
Ca (0.0000, 0.0000, 0.1181) (multiplicity 6)
Er (0.0000, 0.0000, 0.0000) (multiplicity 3)
P (0.0000, 0.0000, 0.5000) (multiplicity 3)

***

> Which value of DFT formation energy does entry 2 give?

-1.1852 eV per atom

***

Repeat the second record exactly.
CaErP2 | GGA-PBE | relaxed

Properties
DFT formation energy   -1.1852 eV per atom
Polymorph energy (0 for the lowest one)   0 meV per atom

Lattice parameters (Å, degrees): 4.0025 4.0025 20.3177 90.00 90.00 120.00
Space group R-3m (No. 166, hexagonal axes)
Asymmetric unit:
Ca (0.0000, 0.0000, 0.0000) (multiplicity 3)
Er (0.0000, 0.0000, 0.5000) (multiplicity 3)
P (0.0000, 0.0000, 0.2445) (multiplicity 6)